Entry 1:
A relaxed structure of LiTe2As, computed with GGA-PBE.

a = 4.064 Å, b = 3.231 Å, c = 7.970 Å
α = 99.51°, β = 90.00°, γ = 90.00°
Atoms (fractional coordinates):
Te (0.000, 0.316, 0.511)
Te (0.000, 0.184, 0.989)
Li (0.500, 0.750, 0.750)
As (0.500, 0.250, 0.250)

Summary:
M_tot = 0.00 μB per formula unit
E above lowest polymorph = 157 meV/atom
Space group = P2/m (10)
Formation energy without anion corrections = -4.68 kcal/mol of atoms

---

Entry 2:
A relaxed structure of Li3TeAs, computed with GGA-PBE.

a = 5.160 Å, b = 5.160 Å, c = 5.160 Å
α = 90.00°, β = 90.00°, γ = 90.00°
Atoms (fractional coordinates):
Li (0.000, 0.000, 0.500)
Li (0.500, 0.000, 0.000)
Li (0.000, 0.500, 0.000)
Te (0.000, 0.000, 0.000)
As (0.500, 0.500, 0.500)

Summary:
M_tot = 2.00 μB per formula unit
E above lowest polymorph = 134 meV/atom
Space group = Pm-3m (221)
Formation energy without anion corrections = -5.31 kcal/mol of atoms

---

no.,calculated density (g cm⁻³),calculated volume (Å³ per cell)
1,5.42,103.19
2,2.70,137.41